{"formula": "NaSr2OsO6", "functional": "meta-GGA SCAN", "state": "single point on PBEsol structure", "sg": "Fm-3m", "formation_energy_uncorrected_kj_per_mol_fu": -2018.8, "lattice": [[-3.561, -2.830, -3.435], [1.808, -4.631, -2.788], [-1.911, -5.157, 1.500]], "species": ["O", "Sr", "O", "O", "Os", "Sr", "O", "O", "Na", "O"], "fractional_positions": [[0.233, 0.767, 0.767], [0.750, 0.750, 0.750], [0.767, 0.767, 0.233], [0.767, 0.233, 0.233], [0.000, 0.000, 0.000], [0.250, 0.250, 0.250], [0.233, 0.767, 0.233], [0.767, 0.233, 0.767], [0.500, 0.500, 0.500], [0.233, 0.233, 0.767]]}



{"formula": "Na5P3O10", "functional": "meta-GGA SCAN", "state": "single point on PBEsol structure", "sg": "C2/c", "formation_energy_uncorrected_kj_per_mol_fu": -4291.0, "lattice": [[-2.625, -2.920, -3.445], [6.995, -4.163, 2.159], [-5.967, -4.522, 8.380]], "species": ["Na", "O", "Na", "Na", "O", "O", "Na", "O", "P", "Na", "O", "O", "O", "Na", "Na", "O", "O", "O", "Na", "Na", "P", "O", "O", "O", "O", "P", "O", "Na", "P", "O", "P", "O", "O", "P", "O", "O"], "fractional_positions": [[0.778, 0.078, 0.461], [0.974, 0.763, 0.981], [0.700, 0.922, 0.039], [0.109, 0.682, 0.792], [0.833, 0.561, 0.148], [0.493, 0.078, 0.152], [0.427, 0.318, 0.708], [0.638, 0.301, 0.393], [0.051, 0.707, 0.099], [0.222, 0.922, 0.539], [0.663, 0.301, 0.893], [0.964, 0.133, 0.806], [0.416, 0.922, 0.348], [0.573, 0.682, 0.292], [0.500, 0.500, 0.000], [0.584, 0.078, 0.652], [0.169, 0.133, 0.306], [0.026, 0.237, 0.019], [0.300, 0.078, 0.961], [0.891, 0.318, 0.208], [0.344, 0.293, 0.401], [0.337, 0.699, 0.107], [0.831, 0.867, 0.694], [0.211, 0.237, 0.519], [0.507, 0.922, 0.848], [0.695, 0.000, 0.750], [0.272, 0.439, 0.352], [0.000, 0.500, 0.500], [0.949, 0.293, 0.901], [0.362, 0.699, 0.607], [0.305, 0.000, 0.250], [0.728, 0.561, 0.648], [0.789, 0.763, 0.481], [0.656, 0.707, 0.599], [0.036, 0.867, 0.194], [0.167, 0.439, 0.852]]}



{"formula": "NaPO2", "functional": "meta-GGA SCAN", "state": "single point on PBEsol structure", "sg": "I-42d", "formation_energy_uncorrected_kj_per_mol_fu": -406.0, "lattice": [[-0.469, 4.678, 0.582], [-4.677, -0.535, 0.530], [3.202, -2.629, 4.432]], "species": ["O", "O", "Na", "O", "P", "P", "O", "Na"], "fractional_positions": [[0.966, 0.375, 0.250], [0.284, 0.875, 0.250], [0.500, 0.500, 0.000], [0.125, 0.034, 0.750], [0.250, 0.750, 0.500], [0.000, 0.000, 0.000], [0.625, 0.716, 0.750], [0.750, 0.250, 0.500]]}